The following is a GGA-PBE calculation of TbEr3Pd4 after structural relaxation, from Alexandria via LeMat-Bulk.

- magnetic moment (μB per formula unit) = 0.00
- calculated formation energy (eV/atom) = -0.911
- DFT total energy (eV per cell) = -92.8

Cell: 4.979 6.843 9.959 Å, 90.00 90.00 90.00°
Element x y z (fractional)
Tb 0.000 0.500 0.000
Tb 0.000 0.500 0.500
Pd 0.500 0.753 0.000
Pd 0.500 0.753 0.500
Pd 0.500 0.247 0.000
Pd 0.500 0.247 0.500
Pd 0.999 0.753 0.750
Pd 0.001 0.753 0.250
Pd 0.001 0.247 0.250
Pd 0.999 0.247 0.750
Er 0.000 0.000 0.000
Er 0.000 0.000 0.500
Er 0.499 0.000 0.750
Er 0.501 0.000 0.250
Er 0.499 0.500 0.750
Er 0.501 0.500 0.250

=====

The following is a GGA-PBE calculation of TbEr3Pd after structural relaxation, from Alexandria via LeMat-Bulk.

- magnetic moment (μB per formula unit) = 0.00
- energy relative to the lowest polymorph listed for this composition (eV/atom) = 0.008
- calculated formation energy (eV/atom) = -0.268
- DFT total energy (eV per cell) = -49.7

Cell: 7.131 7.131 7.477 Å, 104.09 114.93 107.62°
Element x y z (fractional)
Tb 0.703 0.074 0.777
Tb 0.297 0.926 0.223
Er 0.835 0.010 0.244
Er 0.234 0.408 0.244
Er 0.766 0.592 0.756
Er 0.728 0.459 0.187
Er 0.165 0.990 0.756
Er 0.272 0.541 0.813
Pd 0.650 0.766 0.416
Pd 0.350 0.234 0.584

=====

The following is a GGA-PBE calculation of Tb3Er2Pd2 after structural relaxation, from Alexandria via LeMat-Bulk.

- magnetic moment (μB per formula unit) = 0.00
- energy relative to the lowest polymorph listed for this composition (eV/atom) = 0.000
- calculated formation energy (eV/atom) = -0.517
- DFT total energy (eV per cell) = -37.0

Cell: 3.712 6.442 9.049 Å, 115.02 90.00 106.74°
Element x y z (fractional)
Tb 0.500 0.000 0.000
Tb 0.613 0.226 0.440
Tb 0.387 0.774 0.560
Er 0.841 0.682 0.186
Er 0.159 0.318 0.814
Pd 0.827 0.654 0.767
Pd 0.173 0.346 0.233

=====

The following is a GGA-PBE calculation of TbErTlPd after structural relaxation, from Alexandria via LeMat-Bulk.

- magnetic moment (μB per formula unit) = 0.00
- calculated formation energy (eV/atom) = -0.548
- DFT total energy (eV per cell) = -18.9

Cell: 5.164 5.164 5.164 Å, 60.00 60.00 60.00°
Element x y z (fractional)
Tl 0.250 0.250 0.250
Tb 0.500 0.500 0.500
Pd 0.750 0.750 0.750
Er 0.000 0.000 0.000

=====

Which of these has the highest calculated formation energy?
TbEr3Pd